This record from the Alexandria database describes crystalline Fe2Sn2Mo at its relaxed geometry. The functional is GGA-PBE.

Values from the calculation:
Formation energy from the elements in eV per atom: 0.3815
Calculated density in g cm⁻³: 9.2
Calculated volume in Å³ per cell: 160
DFT total energy in eV per cell: -67.7
Space-group type: No. 127

abc: 6.455 6.455 3.849
angles: 90.00 90.00 90.00
Last column: magnetic moment on the atom in μB.
Atoms (fractional coordinates):
Sn 0.825 0.325 0.500  -0.01
Sn 0.675 0.825 0.500  -0.01
Sn 0.325 0.175 0.500  -0.01
Sn 0.175 0.675 0.500  -0.01
Fe 0.126 0.374 0.000  0.15
Fe 0.374 0.874 0.000  0.15
Fe 0.874 0.626 0.000  0.15
Fe 0.626 0.126 0.000  0.15
Mo 0.000 0.000 0.000  -0.03
Mo 0.500 0.500 0.000  -0.03

---

This record from the Alexandria database describes crystalline ScCBr at its relaxed geometry. The functional is GGA-PBE.

Values from the calculation:
Calculated density in g cm⁻³: 3.6
E_form (uncorrected) in eV per formula unit: -2.8
Calculated volume in Å³ per cell: 126
DFT total energy in eV per cell: -40.1
Space-group type: No. 1

abc: 3.581 3.837 10.448
angles: 88.18 83.09 62.18
Atoms (fractional coordinates):
C 0.670 0.705 0.186
C 0.473 0.059 0.241
Sc 0.151 0.636 0.336
Sc 0.984 0.149 0.083
Br 0.740 0.337 0.510
Br 0.712 0.819 0.904

---

This record from the Alexandria database describes crystalline TlAg2Au at its relaxed geometry. The functional is GGA-PBE.

Values from the calculation:
Formation energy from the elements in eV per atom: 0.1278
Calculated density in g cm⁻³: 11.2
Calculated volume in Å³ per cell: 91
DFT total energy in eV per cell: -10.8
Space-group type: No. 160

abc: 4.637 4.637 5.587
angles: 65.49 65.49 60.00
Atoms (fractional coordinates):
Au 0.681 0.681 0.956
Ag 0.270 0.270 0.189
Ag 0.062 0.062 0.813
Tl 0.486 0.486 0.542

---

This record from the Alexandria database describes crystalline KLi2Os at its relaxed geometry. The functional is GGA-PBE.

Values from the calculation:
Formation energy from the elements in eV per atom: 0.6787
Calculated density in g cm⁻³: 5.1
Calculated volume in Å³ per cell: 79
DFT total energy in eV per cell: -13.4
Space-group type: No. 99

abc: 2.727 2.727 10.636
angles: 90.00 90.00 90.00
Atoms (fractional coordinates):
Li 0.000 0.000 0.040
Li 0.500 0.500 0.279
Os 0.000 0.000 0.464
K 0.500 0.500 0.718

---

This record from the Alexandria database describes crystalline NaPS2 at its relaxed geometry. The functional is GGA-PBE.

Values from the calculation:
Calculated density in g cm⁻³: 2.2
E_form (uncorrected) in eV per formula unit: -0.6
Calculated volume in Å³ per cell: 89
DFT total energy in eV per cell: -15.5
Space-group type: No. 166

abc: 8.079 8.079 8.079
angles: 25.96 25.96 25.96
Atoms (fractional coordinates):
S 0.110 0.110 0.110
S 0.890 0.890 0.890
Na 0.000 0.000 0.000
P 0.500 0.500 0.500

---

This record from the Alexandria database describes crystalline CuRh at its relaxed geometry. The functional is GGA-PBE.

Values from the calculation:
Formation energy from the elements in eV per atom: 0.2748
Calculated density in g cm⁻³: 9.7
Calculated volume in Å³ per cell: 227
DFT total energy in eV per cell: -87.2
Space-group type: No. 124

abc: 7.149 7.149 4.444
angles: 90.00 90.00 90.00
Atoms (fractional coordinates):
Cu 0.242 0.927 0.500
Cu 0.242 0.073 0.000
Cu 0.073 0.758 0.000
Cu 0.927 0.242 0.000
Cu 0.073 0.242 0.500
Cu 0.758 0.927 0.000
Cu 0.927 0.758 0.500
Cu 0.758 0.073 0.500
Rh 0.579 0.241 0.000
Rh 0.421 0.759 0.000
Rh 0.579 0.759 0.500
Rh 0.241 0.421 0.000
Rh 0.759 0.579 0.000
Rh 0.759 0.421 0.500
Rh 0.421 0.241 0.500
Rh 0.241 0.579 0.500